[1]
A plane-wave DFT calculation with GGA-PBE was carried out for an optimized crystal structure of La4YIn5.

total energy = -4.502 eV per atom
M_tot = 0.00 μB per formula unit

Structure (extended XYZ):
```
10
Lattice="3.876 0.000 0.000 0.000 3.876 0.000 0.000 0.000 19.977" Properties=species:S:1:pos:R:3 pbc="T T T"
La 0.000 0.000 2.047
La 0.000 0.000 6.145
La 0.000 0.000 13.832
La 0.000 0.000 17.930
Y 0.000 0.000 9.989
In 1.938 1.938 0.000
In 1.938 1.938 4.099
In 1.938 1.938 8.223
In 1.938 1.938 11.754
In 1.938 1.938 15.879
```

[2]
A plane-wave DFT calculation with GGA-PBE was carried out for an optimized crystal structure of La2YIn4.

total energy = -4.243 eV per atom
M_tot = 0.00 μB per formula unit

Structure (extended XYZ):
```
7
Lattice="-2.676 2.676 7.605 2.676 -2.676 7.605 2.676 2.676 -7.605" Properties=species:S:1:pos:R:3 pbc="T T T"
La 0.000 0.000 3.768
La 0.000 0.000 11.442
Y 0.000 0.000 7.605
In 2.676 0.000 1.630
In 2.676 0.000 5.975
In 0.000 2.676 1.630
In 0.000 2.676 5.975
```

[3]
A plane-wave DFT calculation with GGA-PBE was carried out for an optimized crystal structure of LaY2In.

total energy = -5.325 eV per atom
M_tot = 0.00 μB per formula unit

Structure (extended XYZ):
```
4
Lattice="3.632 0.000 0.000 0.000 5.197 0.000 -1.665 0.000 6.638" Properties=species:S:1:pos:R:3 pbc="T T T"
La 0.000 0.000 0.000
Y 0.258 2.598 4.849
Y 1.709 2.598 1.789
In -0.833 0.000 3.319
```

[4]
A plane-wave DFT calculation with GGA-PBE was carried out for an optimized crystal structure of La2YIn.

total energy = -4.715 eV per atom
M_tot = 0.00 μB per formula unit

Structure (extended XYZ):
```
8
Lattice="-2.332 2.332 12.047 2.332 -2.332 12.047 2.332 2.332 -12.047" Properties=species:S:1:pos:R:3 pbc="T T T"
La 3.498 1.043 -3.012
La 1.043 1.166 3.012
La -1.166 1.289 9.035
La 1.289 1.166 15.058
Y 2.332 0.000 6.023
Y 0.000 0.000 12.047
In 0.000 0.000 0.000
In 0.000 2.332 6.023
```

[5]
A plane-wave DFT calculation with GGA-PBE was carried out for an optimized crystal structure of La2YIn.

total energy = -5.011 eV per atom
M_tot = 0.00 μB per formula unit

Structure (extended XYZ):
```
4
Lattice="-2.479 2.479 5.098 2.479 -2.479 5.098 2.479 2.479 -5.098" Properties=species:S:1:pos:R:3 pbc="T T T"
La 0.000 0.000 0.000
La 0.000 2.479 2.549
Y 2.479 0.000 2.549
In 0.000 0.000 5.098
```

[6]
A plane-wave DFT calculation with GGA-PBE was carried out for an optimized crystal structure of LaYIn.

relative energy among the computed polymorphs = 118 meV/atom
M_tot = 0.00 μB per formula unit

Structure (extended XYZ):
```
6
Lattice="3.763 0.000 0.000 0.000 5.021 0.000 -1.869 0.000 10.092" Properties=species:S:1:pos:R:3 pbc="T T T"
La 0.002 1.255 2.134
La 1.891 3.766 7.958
Y 0.006 1.255 5.862
Y 1.887 3.766 4.231
In 0.012 1.255 9.194
In 1.881 3.766 0.898
```

[7]
A plane-wave DFT calculation with GGA-PBE was carried out for an optimized crystal structure of La2YIn.

total energy = -4.897 eV per atom
M_tot = 0.93 μB per formula unit

Structure (extended XYZ):
```
4
Lattice="0.000 3.965 3.965 3.965 0.000 3.965 3.965 3.965 0.000" Properties=species:S:1:pos:R:3 pbc="T T T"
La 0.000 0.000 0.000
La 1.983 1.983 1.983
Y 5.948 5.948 5.948
In 3.965 3.965 3.965
```

[8]
A plane-wave DFT calculation with GGA-PBE was carried out for an optimized crystal structure of La8YIn2.

total energy = -4.808 eV per atom
M_tot = 0.00 μB per formula unit

Structure (extended XYZ):
```
11
Lattice="-2.657 4.588 7.835 2.657 -4.588 7.835 2.657 4.588 -7.835" Properties=species:S:1:pos:R:3 pbc="T T T"
La 2.657 2.619 -2.490
La 0.000 0.000 2.361
La 0.000 3.031 0.000
La 2.657 2.619 2.490
La 0.000 1.969 5.346
La 0.000 6.144 0.000
La 0.000 0.000 13.310
La 0.000 1.969 10.325
Y 2.657 0.000 0.000
In 2.657 0.000 4.730
In 0.000 4.588 3.105
```

[9]
A plane-wave DFT calculation with GGA-PBE was carried out for an optimized crystal structure of LaY4In.

relative energy among the computed polymorphs = 0 meV/atom
M_tot = 0.01 μB per formula unit

Structure (extended XYZ):
```
12
Lattice="2.828 -8.646 0.000 2.828 8.646 0.000 0.000 0.000 7.718" Properties=species:S:1:pos:R:3 pbc="T T T"
La 2.828 5.537 3.859
La 2.828 -5.537 0.000
Y 2.828 8.542 5.907
Y 2.828 5.686 0.078
Y 2.828 2.588 1.722
Y 2.828 0.240 3.937
Y 2.828 -0.240 0.078
Y 2.828 -2.588 5.581
Y 2.828 -5.686 3.937
Y 2.828 -8.542 2.048
In 2.828 2.738 5.949
In 2.828 -2.738 2.090
```

[10]
A plane-wave DFT calculation with GGA-PBE was carried out for an optimized crystal structure of LaY3In.

relative energy among the computed polymorphs = 380 meV/atom
M_tot = 0.00 μB per formula unit

Structure (extended XYZ):
```
5
Lattice="5.763 0.000 0.000 0.000 5.763 0.000 0.000 0.000 5.763" Properties=species:S:1:pos:R:3 pbc="T T T"
La 0.000 0.000 0.000
Y 0.000 2.881 2.881
Y 2.881 0.000 2.881
Y 2.881 2.881 0.000
In 2.881 2.881 2.881
```

[11]
A plane-wave DFT calculation with GGA-PBE was carried out for an optimized crystal structure of La9YIn2.

total energy = -4.876 eV per atom
M_tot = 0.00 μB per formula unit

Structure (extended XYZ):
```
12
Lattice="5.097 0.000 0.000 0.000 5.097 0.000 0.000 0.000 15.517" Properties=species:S:1:pos:R:3 pbc="T T T"
La 0.000 0.000 0.000
La 0.000 0.000 5.227
La 0.000 0.000 10.290
La 0.000 2.549 2.681
La 0.000 2.549 7.758
La 0.000 2.549 12.836
La 2.549 0.000 2.681
La 2.549 0.000 7.758
La 2.549 0.000 12.836
Y 2.549 2.549 0.000
In 2.549 2.549 5.236
In 2.549 2.549 10.281
```

[12]
A plane-wave DFT calculation with GGA-PBE was carried out for an optimized crystal structure of LaY2In.

total energy = -5.403 eV per atom
M_tot = 0.00 μB per formula unit

Structure (extended XYZ):
```
4
Lattice="3.649 0.000 0.000 0.000 3.649 0.000 0.000 0.000 9.242" Properties=species:S:1:pos:R:3 pbc="T T T"
La 0.000 0.000 0.000
Y 1.825 1.825 2.608
Y 1.825 1.825 6.635
In 0.000 0.000 4.621
```